{"formula": "Ca3Nb2CoO9", "functional": "GGA+U", "state": "relaxed", "cell": [[9.724, 0.000, 0.000], [0.000, 5.500, 0.000], [-9.460, 0.000, 13.884]], "species": ["Ca", "Ca", "Ca", "Ca", "Ca", "Ca", "Ca", "Ca", "Ca", "Ca", "Ca", "Ca", "Nb", "Nb", "Nb", "Nb", "Nb", "Nb", "Nb", "Nb", "Co", "Co", "Co", "Co", "O", "O", "O", "O", "O", "O", "O", "O", "O", "O", "O", "O", "O", "O", "O", "O", "O", "O", "O", "O", "O", "O", "O", "O", "O", "O", "O", "O", "O", "O", "O", "O", "O", "O", "O", "O"], "frac_coords": [[0.048, 0.016, 0.399], [0.048, 0.484, 0.899], [0.286, 0.507, 0.772], [0.286, 0.993, 0.272], [0.377, 0.019, 0.068], [0.377, 0.481, 0.568], [0.623, 0.519, 0.432], [0.623, 0.981, 0.932], [0.714, 0.007, 0.728], [0.714, 0.493, 0.228], [0.952, 0.516, 0.101], [0.952, 0.984, 0.601], [0.176, 0.504, 0.340], [0.176, 0.996, 0.840], [0.327, 0.511, 0.160], [0.327, 0.989, 0.660], [0.673, 0.011, 0.340], [0.673, 0.489, 0.840], [0.824, 0.004, 0.160], [0.824, 0.496, 0.660], [0.000, 0.000, 0.000], [0.000, 0.500, 0.500], [0.500, 0.000, 0.500], [0.500, 0.500, 0.000], [0.046, 0.705, 0.749], [0.046, 0.795, 0.249], [0.108, 0.599, 0.425], [0.108, 0.901, 0.925], [0.159, 0.190, 0.553], [0.159, 0.310, 0.053], [0.187, 0.700, 0.620], [0.187, 0.800, 0.120], [0.228, 0.093, 0.738], [0.228, 0.407, 0.238], [0.279, 0.203, 0.412], [0.279, 0.297, 0.912], [0.380, 0.692, 0.409], [0.380, 0.808, 0.909], [0.436, 0.602, 0.096], [0.436, 0.898, 0.596], [0.486, 0.208, 0.219], [0.486, 0.292, 0.719], [0.514, 0.708, 0.281], [0.514, 0.792, 0.781], [0.564, 0.102, 0.404], [0.564, 0.398, 0.904], [0.620, 0.192, 0.091], [0.620, 0.308, 0.591], [0.721, 0.703, 0.088], [0.721, 0.797, 0.588], [0.772, 0.593, 0.762], [0.772, 0.907, 0.262], [0.813, 0.200, 0.880], [0.813, 0.300, 0.380], [0.841, 0.690, 0.947], [0.841, 0.810, 0.447], [0.892, 0.099, 0.075], [0.892, 0.401, 0.575], [0.954, 0.205, 0.751], [0.954, 0.295, 0.251]], "total_energy_ev_per_atom": -7.71}